# Pm12SmSc7 | Alexandria via LeMat-Bulk | PBE-GGA | relaxed
# - spin magnetization (Bohr magnetons per cell) = 0.03
# - calculated formation energy (eV/atom) = 0.158
# - energy (eV/atom) = -5.145
data_Pm12SmSc7
_chemical_formula_sum 'Pm36 Sm3 Sc21'
_symmetry_space_group_name_H-M 'R -3'
_symmetry_Int_Tables_number 148
_symmetry_space_group_name_Hall '-R 3'
_cell_length_a 14.8561
_cell_length_b 14.8561
_cell_length_c 9.7408
_cell_angle_alpha 90.00
_cell_angle_beta 90.00
_cell_angle_gamma 120.00
loop_
_atom_site_label
_atom_site_type_symbol
_atom_site_fract_x
_atom_site_fract_y
_atom_site_fract_z
_atom_site_occupancy
Pm1 Pm 0.0407 0.8463 0.2568 1
Pm2 Pm 0.0431 0.7861 0.5827 1
Sm1 Sm 0.0000 0.0000 0.0000 1
Sc1 Sc 0.0000 0.0000 0.5000 1
Sc2 Sc 0.0713 0.8267 0.9290 1